Compound: AlZnTc2
Source: Alexandria via LeMat-Bulk
Functional: meta-GGA SCAN
Structure: single point on PBEsol structure

- total magnetic moment (μB per formula unit) = 0.00
- crystal system = tetragonal
- energy relative to the elements (meV/atom) = 14
- ΔE to the lowest computed polymorph (eV/atom) = 0.312
- DOS at the Fermi energy (states/eV per cell) = 4.4

Cell lengths 2.640, 2.640, 7.987 Å; angles 90.00, 90.00, 90.00 degrees
Space group P4/mmm (No. 123)
Symmetry-distinct sites (fractional):
Al: 0.000 0.000 0.000 (multiplicity 1)
Zn: 0.000 0.000 0.500 (multiplicity 1)
Tc: 0.500 0.500 0.248 (multiplicity 2)